! LiTcPd2Pb meta-GGA SCAN single point on PBEsol structure; values from VASP
&SYSTEM
  ibrav = 0, nat = 5, ntyp = 4
/
ATOMIC_SPECIES
Pb 207.20 Pb.upf
Tc 98.00 Tc.upf
Pd 106.42 Pd.upf
Li 6.94 Li.upf
CELL_PARAMETERS angstrom
4.6140 0.0000 0.0000
0.0000 4.9570 0.0000
0.0000 0.0000 4.9570
ATOMIC_POSITIONS angstrom
Pb 0.0000 0.0000 0.0000
Tc 2.3070 2.4785 2.4785
Pd 0.0000 0.0000 2.4785
Pd 0.0000 2.4785 0.0000
Li 2.3070 0.0000 0.0000
! Uncorrected energy in eV per atom: -34.6835
! SG: P4/mmm, No. 123
! Total moment in μB/atom: 0.86
! D(E_F) in states/eV per cell: 2.6
! Mass density in Mg/m³: 7.69
! ΔH_f (0 K) in eV per atom: 1.07

! LiPtPb2 meta-GGA SCAN single point on PBEsol structure; values from VASP
&SYSTEM
  ibrav = 0, nat = 4, ntyp = 3
/
ATOMIC_SPECIES
Pb 207.20 Pb.upf
Pt 195.08 Pt.upf
Li 6.94 Li.upf
CELL_PARAMETERS angstrom
-2.1630 -2.5493 0.1404
0.5939 -0.6814 -3.2218
5.5502 -4.5991 1.9958
ATOMIC_POSITIONS angstrom
Pb 5.2090 -4.3163 1.8731
Pb 0.9556 -3.0573 -0.9150
Pt 3.0485 -2.5260 1.0962
Li 3.0934 -4.8288 -0.1462
! Uncorrected energy in eV per atom: -56.2650
! SG: P4mm, No. 99
! Energy above the most stable polymorph in this dataset in meV per atom: 30
! Total moment in μB/atom: 0.00
! D(E_F) in states/eV per cell: 1.8
! Mass density in Mg/m³: 12.22
! ΔH_f (0 K) in eV per atom: -0.23

! LiPtPb2 meta-GGA SCAN single point on PBEsol structure; values from VASP
&SYSTEM
  ibrav = 0, nat = 4, ntyp = 3
/
ATOMIC_SPECIES
Li 6.94 Li.upf
Pb 207.20 Pb.upf
Pt 195.08 Pt.upf
CELL_PARAMETERS angstrom
-2.4833 -2.2770 1.1927
0.9727 -2.8865 1.8697
-1.1170 2.6492 8.0873
ATOMIC_POSITIONS angstrom
Li 0.0000 0.0000 0.0000
Pb -0.6724 -0.5180 2.9661
Pb -1.9551 -1.9962 8.1835
Pt -1.3138 -1.2571 5.5748
! Uncorrected energy in eV per atom: -56.2074
! SG: R-3m, No. 166
! Energy above the most stable polymorph in this dataset in meV per atom: 88
! Total moment in μB/atom: 0.00
! D(E_F) in states/eV per cell: 2.0
! Mass density in Mg/m³: 11.11
! ΔH_f (0 K) in eV per atom: -0.17

! Li3PtPb meta-GGA SCAN single point on PBEsol structure; values from VASP
&SYSTEM
  ibrav = 0, nat = 5, ntyp = 3
/
ATOMIC_SPECIES
Pb 207.20 Pb.upf
Pt 195.08 Pt.upf
Li 6.94 Li.upf
CELL_PARAMETERS angstrom
-2.0090 2.2698 -3.5157
3.3751 -1.4268 -2.8498
-2.4740 -3.7895 -1.0328
ATOMIC_POSITIONS angstrom
Pb -0.5540 -1.4733 -3.6991
Pt 0.0000 0.0000 0.0000
Li 1.6875 -0.7134 -1.4249
Li -1.2370 -1.8948 -0.5164
Li -1.0045 1.1349 -1.7578
! Uncorrected energy in eV per atom: -30.8154
! SG: Pm-3m, No. 221
! Energy above the most stable polymorph in this dataset in meV per atom: 0
! Total moment in μB/atom: 0.00
! D(E_F) in states/eV per cell: 1.6
! Mass density in Mg/m³: 7.02
! ΔH_f (0 K) in eV per atom: -0.19

! Li2PtPb meta-GGA SCAN single point on PBEsol structure; values from VASP
&SYSTEM
  ibrav = 0, nat = 4, ntyp = 3
/
ATOMIC_SPECIES
Pb 207.20 Pb.upf
Pt 195.08 Pt.upf
Li 6.94 Li.upf
CELL_PARAMETERS angstrom
-2.8407 0.8378 1.5518
-1.6747 -0.8756 -2.5928
-0.4537 -5.5568 2.1696
ATOMIC_POSITIONS angstrom
Pb -2.2577 -0.0189 -0.5205
Pt -2.4845 -2.7973 0.5643
Li -0.3195 -3.9139 1.5282
Li -0.1341 -1.6428 0.6414
! Uncorrected energy in eV per atom: -38.1424
! SG: Pmmm, No. 47
! Total moment in μB/atom: 0.00
! D(E_F) in states/eV per cell: 1.0
! Mass density in Mg/m³: 10.77
! ΔH_f (0 K) in eV per atom: -0.45

! LiPt3Pb meta-GGA SCAN single point on PBEsol structure; values from VASP
&SYSTEM
  ibrav = 0, nat = 5, ntyp = 3
/
ATOMIC_SPECIES
Pb 207.20 Pb.upf
Pt 195.08 Pt.upf
Li 6.94 Li.upf
CELL_PARAMETERS angstrom
5.0430 0.0000 0.0000
0.0000 5.0430 0.0000
0.0000 0.0000 5.0430
ATOMIC_POSITIONS angstrom
Pb 0.0000 0.0000 0.0000
Pt 0.0000 2.5215 0.0000
Pt 0.0000 0.0000 2.5215
Pt 2.5215 0.0000 0.0000
Li 2.5215 2.5215 2.5215
! Uncorrected energy in eV per atom: -56.7524
! SG: Pm-3m, No. 221
! Total moment in μB/atom: 0.00
! D(E_F) in states/eV per cell: 4.6
! Mass density in Mg/m³: 10.35
! ΔH_f (0 K) in eV per atom: 1.00

! LiPtPb2 meta-GGA SCAN single point on PBEsol structure; values from VASP
&SYSTEM
  ibrav = 0, nat = 4, ntyp = 3
/
ATOMIC_SPECIES
Pb 207.20 Pb.upf
Pt 195.08 Pt.upf
Li 6.94 Li.upf
CELL_PARAMETERS angstrom
-3.4457 -1.4191 -0.8854
0.6297 -3.2315 2.7289
-0.3664 3.4539 4.1746
ATOMIC_POSITIONS angstrom
Pb -3.7479 1.9505 3.1746
Pb -0.8120 -0.1355 3.3773
Pt -2.5357 0.3582 1.0093
Li -1.6241 -2.0414 1.3078
! Uncorrected energy in eV per atom: -56.2953
! SG: Amm2, No. 38
! Energy above the most stable polymorph in this dataset in meV per atom: 0
! Total moment in μB/atom: 0.00
! D(E_F) in states/eV per cell: 1.6
! Mass density in Mg/m³: 12.30
! ΔH_f (0 K) in eV per atom: -0.26

! Li2PtPb meta-GGA SCAN single point on PBEsol structure; values from VASP
&SYSTEM
  ibrav = 0, nat = 4, ntyp = 3
/
ATOMIC_SPECIES
Pb 207.20 Pb.upf
Pt 195.08 Pt.upf
Li 6.94 Li.upf
CELL_PARAMETERS angstrom
-2.9771 0.4866 2.6735
-2.2258 -2.7385 -1.9802
1.5773 -2.9388 2.2913
ATOMIC_POSITIONS angstrom
Pb -1.8128 -2.5954 1.4923
Pt -1.4886 0.2433 1.3367
Li 0.7887 -1.4694 1.1457
Li -1.1129 -1.3693 -0.9901
! Uncorrected energy in eV per atom: -38.1655
! SG: P4/mmm, No. 123
! Total moment in μB/atom: 0.00
! D(E_F) in states/eV per cell: 1.4
! Mass density in Mg/m³: 10.47
! ΔH_f (0 K) in eV per atom: -0.48

! LiPt2Pb meta-GGA SCAN single point on PBEsol structure; values from VASP
&SYSTEM
  ibrav = 0, nat = 4, ntyp = 3
/
ATOMIC_SPECIES
Pb 207.20 Pb.upf
Pt 195.08 Pt.upf
Li 6.94 Li.upf
CELL_PARAMETERS angstrom
-0.4344 -2.4018 -3.1186
2.9975 -2.3384 1.3834
-2.6805 -2.2087 2.0745
ATOMIC_POSITIONS angstrom
Pb -0.2172 -1.2009 -1.5593
Pt -1.3402 -1.1044 1.0372
Pt 1.4987 -1.1692 0.6917
Li -0.0587 -3.4745 0.1696
! Uncorrected energy in eV per atom: -55.0321
! SG: P4/mmm, No. 123
! Total moment in μB/atom: 0.00
! D(E_F) in states/eV per cell: 1.2
! Mass density in Mg/m³: 15.48
! ΔH_f (0 K) in eV per atom: -0.39

! Li2Pt2Pb meta-GGA SCAN single point on PBEsol structure; values from VASP
&SYSTEM
  ibrav = 0, nat = 5, ntyp = 3
/
ATOMIC_SPECIES
Pb 207.20 Pb.upf
Pt 195.08 Pt.upf
Li 6.94 Li.upf
CELL_PARAMETERS angstrom
-3.2492 -0.8790 -1.6810
0.6340 -3.6456 0.6809
-1.6184 2.7611 5.8948
ATOMIC_POSITIONS angstrom
Pb 0.0000 0.0000 0.0000
Pt -2.2960 0.3914 4.2332
Pt -1.9376 -2.1549 0.6615
Li -1.1460 -1.5734 3.0379
Li -3.0876 -0.1901 1.8569
! Uncorrected energy in eV per atom: -44.3768
! SG: I4/mmm, No. 139
! Total moment in μB/atom: 0.00
! D(E_F) in states/eV per cell: 1.3
! Mass density in Mg/m³: 11.64
! ΔH_f (0 K) in eV per atom: -0.19

! LiPtPb2 meta-GGA SCAN single point on PBEsol structure; values from VASP
&SYSTEM
  ibrav = 0, nat = 4, ntyp = 3
/
ATOMIC_SPECIES
Pb 207.20 Pb.upf
Pt 195.08 Pt.upf
Li 6.94 Li.upf
CELL_PARAMETERS angstrom
-0.4487 4.6705 -1.0723
-4.2564 1.6906 -1.6566
-2.7018 2.8757 2.8548
ATOMIC_POSITIONS angstrom
Pb -5.3219 4.5925 0.6274
Pb -2.0851 4.6443 -0.5015
Pt -0.2244 2.3352 -0.5361
Li -3.4791 2.2832 0.5991
! Uncorrected energy in eV per atom: -56.2619
! SG: Immm, No. 71
! Energy above the most stable polymorph in this dataset in meV per atom: 33
! Total moment in μB/atom: 0.00
! D(E_F) in states/eV per cell: 2.0
! Mass density in Mg/m³: 12.55
! ΔH_f (0 K) in eV per atom: -0.23

! Li2PtPb meta-GGA SCAN single point on PBEsol structure; values from VASP
&SYSTEM
  ibrav = 0, nat = 4, ntyp = 3
/
ATOMIC_SPECIES
Pb 207.20 Pb.upf
Pt 195.08 Pt.upf
Li 6.94 Li.upf
CELL_PARAMETERS angstrom
-3.0563 -0.5808 2.5815
-1.9091 -2.2481 -2.7660
4.3106 -1.8868 1.5137
ATOMIC_POSITIONS angstrom
Pb -1.5281 -0.2904 1.2907
Pt -0.9546 -1.1240 -1.3830
Li -1.5686 -3.0653 0.6186
Li 0.9138 -1.6503 0.7106
! Uncorrected energy in eV per atom: -38.1661
! SG: I4/mmm, No. 139
! Total moment in μB/atom: 0.00
! D(E_F) in states/eV per cell: 1.6
! Mass density in Mg/m³: 10.48
! ΔH_f (0 K) in eV per atom: -0.48